Entry 1:
First-principles (PBE) data for an optimized crystal structure of HoTm2Zn3AgHg2, as listed in the Open Quantum Materials Database.

## Properties
ΔE_f ... -358 meV/atom
Magnetization ... 0.0 μB per cell

a b c (Å): 4.004 7.477 7.477
angles (deg): 120.14 90.00 90.00
Positions (direct):
Ho1 0.000 0.000 0.000
Tm1 0.000 0.405 0.808
Tm2 0.000 0.808 0.405
Zn1 0.500 0.157 0.405
Zn2 0.500 0.405 0.157
Zn3 0.500 0.653 0.653
Ag1 0.000 0.406 0.406
Hg1 0.500 0.072 0.737
Hg2 0.500 0.737 0.072



Entry 2:
First-principles (PBE) data for an optimized crystal structure of ZnIrOs, as listed in the Open Quantum Materials Database.

## Properties
ΔE_f ... 378 meV/atom
Magnetization ... 0.0 μB per cell
E above lowest polymorph ... 0.0 kJ per mole of atoms

a b c (Å): 4.146 4.146 4.146
angles (deg): 60.00 60.00 60.00
Positions (direct):
Zn1 0.000 0.000 0.000
Ir1 0.750 0.750 0.750
Os1 0.500 0.500 0.500



Entry 3:
First-principles (PBE) data for an optimized crystal structure of Dy2HoMg3Tl2Hg, as listed in the Open Quantum Materials Database.

## Properties
Magnetization ... 0.0 μB per cell
Electronic total energy ... -26.8 eV/cell

a b c (Å): 4.595 7.508 7.508
angles (deg): 119.91 90.00 90.00
Positions (direct):
Dy1 0.000 0.211 0.789
Dy2 0.000 0.789 0.211
Ho1 0.000 0.369 0.369
Mg1 0.500 0.028 0.028
Mg2 0.500 0.551 0.789
Mg3 0.500 0.789 0.551
Tl1 0.500 0.123 0.456
Tl2 0.500 0.456 0.123
Hg1 0.000 0.788 0.788



Entry 4:
First-principles (PBE) data for an optimized crystal structure of ReNiN, as listed in the Open Quantum Materials Database.

## Properties
Magnetization ... 0.0 μB per cell
Electronic total energy ... -22.1 eV/cell

a b c (Å): 3.941 3.941 2.661
angles (deg): 90.00 90.00 120.00
Positions (direct):
Re1 0.000 0.000 0.000
Ni1 0.333 0.667 0.000
N1 0.667 0.333 0.000



Entry 5:
First-principles (PBE) data for an optimized crystal structure of AcThGe, as listed in the Open Quantum Materials Database.

## Properties
Magnetization ... 0.0 μB per cell
Electronic total energy ... -14.5 eV/cell

a b c (Å): 5.237 5.237 5.237
angles (deg): 60.00 60.00 60.00
Positions (direct):
Ac1 0.000 0.000 0.000
Th1 0.250 0.250 0.250
Ge1 0.500 0.500 0.500



Entry 6:
First-principles (PBE) data for an optimized crystal structure of K2PAu, as listed in the Open Quantum Materials Database.

## Properties
Electronic total energy ... -25.7 eV/cell

a b c (Å): 6.150 6.343 6.161
angles (deg): 90.00 106.35 90.00
Positions (direct):
K1 0.029 0.250 0.180
K2 0.319 0.750 0.473
K3 0.681 0.250 0.527
K4 0.971 0.750 0.820
P1 0.253 0.250 0.751
P2 0.747 0.750 0.249
Au1 0.500 0.000 0.000
Au2 0.500 0.500 0.000



Entry 7:
First-principles (PBE) data for an optimized crystal structure of Cd2C, as listed in the Open Quantum Materials Database.

## Properties
E above lowest polymorph ... 0.0 kJ per mole of atoms

a b c (Å): 6.913 6.913 6.913
angles (deg): 60.00 60.00 60.00
Positions (direct):
Cd1 0.000 0.000 0.000
Cd2 0.000 0.000 0.500
Cd3 0.000 0.500 0.000
Cd4 0.500 0.000 0.000
C1 0.125 0.125 0.125
C2 0.875 0.875 0.875



Entry 8:
First-principles (PBE) data for an optimized crystal structure of Cd2HgAu, as listed in the Open Quantum Materials Database.

## Properties
ΔE_f ... 17 meV/atom

a b c (Å): 4.901 4.901 4.901
angles (deg): 60.00 60.00 60.00
Positions (direct):
Cd1 0.000 0.000 0.000
Cd2 0.250 0.250 0.250
Hg1 0.500 0.500 0.500
Au1 0.750 0.750 0.750



Entry 9:
First-principles (PBE) data for an optimized crystal structure of RbDy2CuTeSe3, as listed in the Open Quantum Materials Database.

## Properties
Magnetization ... 0.0 μB per cell
Electronic total energy ... -77.4 eV/cell

a b c (Å): 7.551 7.551 14.744
angles (deg): 90.00 90.00 147.69
Positions (direct):
Rb1 0.127 0.873 0.750
Rb2 0.873 0.127 0.250
Dy1 0.367 0.633 0.557
Dy2 0.367 0.633 0.943
Dy3 0.633 0.367 0.057
Dy4 0.633 0.367 0.443
Cu1 0.165 0.835 0.250
Cu2 0.835 0.165 0.750
Te1 0.439 0.561 0.750
Te2 0.561 0.439 0.250
Se1 0.000 0.000 0.000
Se2 0.000 0.000 0.500
Se3 0.257 0.743 0.107
Se4 0.257 0.743 0.393
Se5 0.743 0.257 0.607
Se6 0.743 0.257 0.893



Entry 10:
First-principles (PBE) data for an optimized crystal structure of NbCuAgAu, as listed in the Open Quantum Materials Database.

## Properties
ΔE_f ... 116 meV/atom
Magnetization ... 0.0 μB per cell
E above lowest polymorph ... 0.0 kJ per mole of atoms

a b c (Å): 4.528 4.528 4.528
angles (deg): 60.00 60.00 60.00
Positions (direct):
Nb1 0.000 0.000 0.000
Cu1 0.250 0.250 0.250
Ag1 0.500 0.500 0.500
Au1 0.750 0.750 0.750



Entry 11:
First-principles (PBE) data for an optimized crystal structure of LuTlHgS3, as listed in the Open Quantum Materials Database.

## Properties
Magnetization ... 0.0 μB per cell
E above lowest polymorph ... 12.2 kJ per mole of atoms

a b c (Å): 8.138 4.496 15.727
angles (deg): 90.00 90.00 90.00
Positions (direct):
Lu1 0.216 0.250 0.034
Lu2 0.284 0.750 0.534
Lu3 0.716 0.250 0.466
Lu4 0.784 0.750 0.966
Tl1 0.057 0.250 0.803
Tl2 0.443 0.750 0.303
Tl3 0.557 0.250 0.697
Tl4 0.943 0.750 0.197
Hg1 0.088 0.250 0.348
Hg2 0.412 0.750 0.848
Hg3 0.588 0.250 0.152
Hg4 0.912 0.750 0.652
S1 0.020 0.750 0.423
S2 0.123 0.750 0.960
S3 0.229 0.250 0.201
S4 0.271 0.750 0.701
S5 0.377 0.250 0.460
S6 0.480 0.250 0.923
S7 0.520 0.750 0.077
S8 0.623 0.750 0.540
S9 0.729 0.250 0.299
S10 0.771 0.750 0.799
S11 0.877 0.250 0.040
S12 0.980 0.250 0.577



Entry 12:
First-principles (PBE) data for an optimized crystal structure of TmLu2Ge4Pd4, as listed in the Open Quantum Materials Database.

## Properties
Magnetization ... 0.0 μB per cell
Electronic total energy ... -62.5 eV/cell

a b c (Å): 8.049 8.049 8.049
angles (deg): 150.31 127.70 61.30
Positions (direct):
Tm1 0.000 0.000 0.000
Lu1 0.375 0.875 0.500
Lu2 0.625 0.125 0.500
Ge1 0.218 0.218 0.000
Ge2 0.313 0.500 0.813
Ge3 0.687 0.500 0.187
Ge4 0.782 0.782 0.000
Pd1 0.027 0.326 0.702
Pd2 0.376 0.674 0.702
Pd3 0.624 0.326 0.298
Pd4 0.973 0.674 0.298



Entry 13:
First-principles (PBE) data for an optimized crystal structure of HoEr4Ag5, as listed in the Open Quantum Materials Database.

## Properties
ΔE_f ... -345 meV/atom
Magnetization ... 0.0 μB per cell

a b c (Å): 3.592 3.592 17.982
angles (deg): 90.00 90.00 90.00
Positions (direct):
Ho1 0.000 0.000 0.000
Er1 0.000 0.000 0.201
Er2 0.000 0.000 0.400
Er3 0.000 0.000 0.600
Er4 0.000 0.000 0.799
Ag1 0.500 0.500 0.101
Ag2 0.500 0.500 0.300
Ag3 0.500 0.500 0.500
Ag4 0.500 0.500 0.700
Ag5 0.500 0.500 0.899



Entry 14:
First-principles (PBE) data for an optimized crystal structure of TbGdInCu2, as listed in the Open Quantum Materials Database.

## Properties
Magnetization ... 0.0 μB per cell
Electronic total energy ... -21.3 eV/cell

a b c (Å): 3.618 7.340 7.340
angles (deg): 33.99 90.00 90.00
Positions (direct):
Tb1 0.000 0.000 0.000
Gd1 0.000 0.733 0.733
In1 0.500 0.367 0.367
Cu1 0.500 0.164 0.164
Cu2 0.500 0.568 0.568



Entry 15:
First-principles (PBE) data for an optimized crystal structure of Li4ZnAgGe2, as listed in the Open Quantum Materials Database.

## Properties
Electronic total energy ... -23.7 eV/cell

a b c (Å): 4.377 4.377 6.208
angles (deg): 90.00 90.00 90.00
Positions (direct):
Li1 0.000 0.000 0.000
Li2 0.000 0.500 0.249
Li3 0.500 0.000 0.751
Li4 0.500 0.500 0.500
Zn1 0.500 0.500 0.000
Ag1 0.000 0.000 0.500
Ge1 0.000 0.500 0.757
Ge2 0.500 0.000 0.243



Entry 16:
First-principles (PBE) data for an optimized crystal structure of TaSbSe4, as listed in the Open Quantum Materials Database.

## Properties
Magnetization ... 0.0 μB per cell
E above lowest polymorph ... 0.0 kJ per mole of atoms

a b c (Å): 9.193 9.193 6.637
angles (deg): 90.00 90.00 157.50
Positions (direct):
Ta1 0.000 0.000 0.000
Sb1 0.500 0.500 0.505
Se1 0.095 0.905 0.288
Se2 0.407 0.593 0.854
Se3 0.593 0.407 0.854
Se4 0.905 0.095 0.288



Entry 17:
First-principles (PBE) data for an optimized crystal structure of Tl2CuGeCl6, as listed in the Open Quantum Materials Database.

## Properties
Electronic total energy ... -32.2 eV/cell

a b c (Å): 7.059 7.059 7.059
angles (deg): 60.00 60.00 60.00
Positions (direct):
Tl1 0.250 0.250 0.250
Tl2 0.750 0.750 0.750
Cu1 0.000 0.000 0.000
Ge1 0.500 0.500 0.500
Cl1 0.246 0.246 0.754
Cl2 0.246 0.754 0.246
Cl3 0.246 0.754 0.754
Cl4 0.754 0.246 0.246
Cl5 0.754 0.246 0.754
Cl6 0.754 0.754 0.246



Entry 18:
First-principles (PBE) data for an optimized crystal structure of KGdW, as listed in the Open Quantum Materials Database.

## Properties
Magnetization ... 3.0 μB per cell
Electronic total energy ... -11.5 eV/cell

a b c (Å): 5.047 5.047 5.047
angles (deg): 60.00 60.00 60.00
Positions (direct):
K1 0.000 0.000 0.000
Gd1 0.250 0.250 0.250
W1 0.750 0.750 0.750



Entry 19:
First-principles (PBE) data for an optimized crystal structure of DyEr3Pt4, as listed in the Open Quantum Materials Database.

## Properties
ΔE_f ... -1308 meV/atom
Magnetization ... 0.0 μB per cell

a b c (Å): 5.530 4.483 6.981
angles (deg): 90.00 90.14 90.00
Positions (direct):
Dy1 0.000 0.000 0.000
Er1 0.218 0.000 0.500
Er2 0.500 0.500 0.137
Er3 0.717 0.500 0.636
Pt1 0.015 0.500 0.277
Pt2 0.204 0.500 0.772
Pt3 0.515 0.000 0.861
Pt4 0.701 0.000 0.363



Entry 20:
First-principles (PBE) data for an optimized crystal structure of SiBW, as listed in the Open Quantum Materials Database.

## Properties
Magnetization ... 0.3 μB per cell
E above lowest polymorph ... 0.0 kJ per mole of atoms

a b c (Å): 3.734 3.734 3.734
angles (deg): 60.00 60.00 60.00
Positions (direct):
Si1 0.000 0.000 0.000
B1 0.250 0.250 0.250
W1 0.500 0.500 0.500



Entry 21:
First-principles (PBE) data for an optimized crystal structure of ErBeO3, as listed in the Open Quantum Materials Database.

## Properties
Magnetization ... 2.0 μB per cell
Electronic total energy ... -70.3 eV/cell

a b c (Å): 5.507 5.507 5.507
angles (deg): 57.85 57.85 57.85
Positions (direct):
Er1 0.139 0.139 0.139
Er2 0.861 0.861 0.861
Be1 0.399 0.399 0.399
Be2 0.601 0.601 0.601
O1 0.104 0.467 0.685
O2 0.315 0.896 0.533
O3 0.467 0.685 0.104
O4 0.533 0.315 0.896
O5 0.685 0.104 0.467
O6 0.896 0.533 0.315



Entry 22:
First-principles (PBE) data for an optimized crystal structure of LuMgInNi, as listed in the Open Quantum Materials Database.

## Properties
Magnetization ... 0.0 μB per cell
E above lowest polymorph ... 0.0 kJ per mole of atoms

a b c (Å): 4.740 4.740 4.740
angles (deg): 60.00 60.00 60.00
Positions (direct):
Lu1 0.000 0.000 0.000
Mg1 0.250 0.250 0.250
In1 0.500 0.500 0.500
Ni1 0.750 0.750 0.750



Entry 23:
First-principles (PBE) data for an optimized crystal structure of NbFeCoSi, as listed in the Open Quantum Materials Database.

## Properties
Magnetization ... 2.6 μB per cell
E above lowest polymorph ... 17.1 kJ per mole of atoms

a b c (Å): 4.193 4.193 4.193
angles (deg): 60.00 60.00 60.00
Positions (direct):
Nb1 0.000 0.000 0.000
Fe1 0.750 0.750 0.750
Co1 0.500 0.500 0.500
Si1 0.250 0.250 0.250